# 1
Sm2IBrN: optimized geometry, PBE.

Cell: 3.8100 3.8100 10.4356 Å, 90.00 90.00 120.00°
Closest atoms and distances in Å follow each position.
Sites, in units of the cell vectors:
Br (0.3333, 0.6667, 0.6796)  3 Sm 2.96
I (0.6667, 0.3333, 0.3353)  3 Sm 3.12
N (0.0000, 0.0000, 0.9935)  6 Sm 2.56-2.58
Sm (0.3333, 0.6667, 0.1229)  3 N 2.58
Sm (0.6667, 0.3333, 0.8688)  3 N 2.56

Computed properties:
Symmetry: P3m1



# 2
Sm2I2BrN: optimized geometry, PBE.

Cell: 9.8699 9.8699 12.4077 Å, 124.08 124.08 23.67°
Closest atoms and distances in Å follow each position.
Sites, in units of the cell vectors:
Br (0.0346, 0.0346, 0.2592)  3 Sm 2.95-3.01
Br (0.9654, 0.9654, 0.7408)  3 Sm 2.95-3.01
I (0.6627, 0.6627, 0.0066)  3 Sm 3.28-3.30
I (0.7765, 0.7765, 0.3793)  3 Sm 3.16-3.24
I (0.2235, 0.2235, 0.6207)  3 Sm 3.16-3.24
I (0.3373, 0.3373, 0.9934)  3 Sm 3.28-3.30
N (0.4266, 0.4266, 0.3525)  4 Sm 2.31-2.41
N (0.5734, 0.5734, 0.6475)  4 Sm 2.31-2.41
Sm (0.8675, 0.8675, 0.2264)  2 N 2.41
Sm (0.5714, 0.5714, 0.4590)  2 N 2.31-2.32
Sm (0.4286, 0.4286, 0.5410)  2 N 2.31-2.32
Sm (0.1325, 0.1325, 0.7736)  2 N 2.41

Computed properties:
Symmetry: C2/m



# 3
Sm2IBr2N: optimized geometry, PBE.

Cell: 9.7995 9.7995 12.1707 Å, 125.37 125.37 23.62°
Closest atoms and distances in Å follow each position.
Sites, in units of the cell vectors:
Br (0.6693, 0.6693, 0.0015)  3 Sm 3.02-3.08
Br (0.0315, 0.0315, 0.2508)  3 Sm 2.95-3.01
Br (0.9685, 0.9685, 0.7492)  3 Sm 2.95-3.01
Br (0.3307, 0.3307, 0.9985)  3 Sm 3.02-3.08
I (0.7709, 0.7709, 0.3704)  3 Sm 3.16-3.24
I (0.2291, 0.2291, 0.6296)  3 Sm 3.16-3.24
N (0.4245, 0.4245, 0.3484)  4 Sm 2.31-2.40
N (0.5755, 0.5755, 0.6516)  4 Sm 2.31-2.40
Sm (0.8625, 0.8625, 0.2160)  2 N 2.40
Sm (0.5722, 0.5722, 0.4590)  2 N 2.31
Sm (0.4278, 0.4278, 0.5410)  2 N 2.31
Sm (0.1375, 0.1375, 0.7840)  2 N 2.40

Computed properties:
Symmetry: C2/m



It is found that the E_tot values, taken in the order of the records, are -5.708, -5.336, -5.469 eV per atom.